i.
# Tb7Dy12Pu

A geometry-optimized Tb7Dy12Pu structure (PBE-GGA, the Alexandria database).

```
Tb7Dy12Pu
1.0
-0.281 -7.790 -5.862
8.404 0.043 4.950
-7.463 -0.378 6.269
Tb Dy Pu
7 12 1
direct
0.500 0.500 0.000
0.000 0.500 0.500
0.500 0.000 0.500
0.500 0.500 0.500
0.000 0.000 0.500
0.500 0.000 0.000
0.000 0.500 0.000
0.501 0.750 0.751
0.000 0.750 0.249
0.499 0.250 0.249
0.000 0.250 0.751
0.751 0.000 0.250
0.751 0.501 0.750
0.249 0.000 0.750
0.249 0.499 0.250
0.750 0.751 0.501
0.250 0.249 0.499
0.750 0.249 0.000
0.250 0.751 0.000
0.000 0.000 0.000
```

=====

ii.
# Tb7Dy12Pu

A geometry-optimized Tb7Dy12Pu structure (PBE-GGA, the Alexandria database).

```
Tb7Dy12Pu
1.0
-4.000 -7.305 2.591
-1.237 -0.693 -8.606
8.284 -2.692 0.454
Tb Dy Pu
7 12 1
direct
0.100 0.665 0.100
0.335 0.900 0.900
0.900 0.900 0.335
0.500 0.500 0.500
0.100 0.100 0.665
0.665 0.100 0.100
0.900 0.335 0.900
0.760 0.240 0.500
0.760 0.500 0.240
0.353 0.085 0.353
0.915 0.647 0.647
0.500 0.240 0.760
0.647 0.647 0.915
0.353 0.353 0.085
0.500 0.760 0.240
0.085 0.353 0.353
0.647 0.915 0.647
0.240 0.500 0.760
0.240 0.760 0.500
0.000 0.000 0.000
```

=====

Last place for stability: i

=====

i.
# TbDyPu

A geometry-optimized TbDyPu structure (PBE-GGA, the Alexandria database).

```
TbDyPu
1.0
3.520 0.000 0.000
-1.760 3.049 0.000
0.000 0.000 8.529
Dy Tb Pu
1 1 1
direct
0.333 0.667 0.664
0.000 0.000 0.002
0.667 0.333 0.334
```

=====

ii.
# TbDyPu

A geometry-optimized TbDyPu structure (PBE-GGA, the Alexandria database).

```
TbDyPu
1.0
-0.369 -3.313 1.073
3.182 -0.760 -1.250
1.587 3.819 6.624
Dy Tb Pu
1 1 1
direct
0.669 0.669 0.339
0.998 0.998 0.995
0.333 0.333 0.666
```

=====

iii.
# TbDyPu

A geometry-optimized TbDyPu structure (PBE-GGA, the Alexandria database).

```
TbDyPu
1.0
3.369 0.000 0.000
0.000 5.559 0.000
0.000 0.000 9.682
Tb Pu Dy
2 2 2
direct
0.500 0.000 0.600
0.000 0.500 0.400
0.500 0.000 0.254
0.000 0.500 0.746
0.000 0.000 0.934
0.500 0.500 0.066
```

=====

Last place for stability: iii

=====

i.
# TbDy2Pu

A geometry-optimized TbDy2Pu structure (PBE-GGA, the Alexandria database).

```
TbDy2Pu
1.0
-2.929 -1.713 -0.586
-0.060 -3.435 0.226
-3.851 -0.888 11.723
Dy Tb Pu
2 1 1
direct
0.089 0.089 0.734
0.911 0.911 0.266
0.500 0.500 0.500
0.000 0.000 0.000
```

=====

ii.
# TbDy2Pu

A geometry-optimized TbDy2Pu structure (PBE-GGA, the Alexandria database).

```
TbDy2Pu
1.0
-0.373 1.144 -5.452
3.952 -1.801 -3.508
-1.143 -4.079 -3.637
Dy Tb Pu
2 1 1
direct
0.250 0.250 0.250
0.750 0.750 0.750
0.500 0.500 0.500
0.000 0.000 0.000
```

=====

Last place for stability: i

=====

i.
# TbDy2Pu

A geometry-optimized TbDy2Pu structure (PBE-GGA, the Alexandria database).

```
TbDy2Pu
1.0
-4.388 1.947 1.267
0.747 -1.379 4.708
2.199 4.352 0.926
Dy Tb Pu
2 1 1
direct
0.000 0.000 0.500
0.000 0.500 0.000
0.500 0.000 0.000
0.500 0.500 0.500
```

=====

ii.
# TbDy2Pu

A geometry-optimized TbDy2Pu structure (PBE-GGA, the Alexandria database).

```
TbDy2Pu
1.0
-1.513 -1.044 -2.971
3.093 0.125 -1.619
1.691 -9.546 2.494
Dy Tb Pu
2 1 1
direct
0.000 0.000 0.745
0.000 0.000 0.255
0.500 0.500 0.000
0.500 0.500 0.500
```

=====

Last place for stability: i

=====

i.
# Tb6DyPu

A geometry-optimized Tb6DyPu structure (PBE-GGA, the Alexandria database).

```
Tb6DyPu
1.0
6.370 -0.378 2.450
0.232 6.400 -0.585
1.215 -0.932 6.759
Tb Dy Pu
6 1 1
direct
0.091 0.742 0.490
0.565 0.773 0.533
0.435 0.227 0.467
0.909 0.258 0.510
0.559 0.752 0.004
0.441 0.248 0.996
0.000 0.500 0.000
0.000 0.000 0.000
```

=====

ii.
# Tb6DyPu

A geometry-optimized Tb6DyPu structure (PBE-GGA, the Alexandria database).

```
Tb6DyPu
1.0
6.894 0.874 0.000
2.640 6.452 0.000
1.320 3.226 6.083
Tb Dy Pu
6 1 1
direct
0.747 0.488 0.561
0.747 0.049 0.439
0.253 0.951 0.561
0.253 0.512 0.439
0.739 0.735 0.000
0.261 0.265 0.000
0.000 0.000 0.000
0.500 0.500 0.000
```

=====

Last place for stability: ii

=====

i.
# DyPuTc2

A geometry-optimized DyPuTc2 structure (PBE-GGA, the Alexandria database).

```
DyPuTc2
1.0
-0.184 -1.945 2.732
3.061 1.020 0.933
-2.837 5.261 3.555
Dy Tc Pu
1 2 1
direct
0.500 0.500 0.500
0.000 0.000 0.783
0.000 0.000 0.217
0.500 0.500 0.000
```

=====

ii.
# DyPuTc2

A geometry-optimized DyPuTc2 structure (PBE-GGA, the Alexandria database).

```
DyPuTc2
1.0
-4.731 0.626 0.390
-2.667 -3.261 2.277
-1.935 1.038 4.255
Dy Tc Pu
1 2 1
direct
0.000 0.000 0.000
0.250 0.250 0.250
0.750 0.750 0.750
0.500 0.500 0.500
```

=====

Last place for stability: ii

=====

i.
# DyPuTe

A geometry-optimized DyPuTe structure (PBE-GGA, the Alexandria database).

```
DyPuTe
1.0
3.732 -0.981 0.581
-2.741 4.863 -0.389
1.025 -0.789 10.660
Te Pu Dy
2 2 2
direct
0.402 0.750 0.144
0.598 0.250 0.856
0.169 0.750 0.462
0.831 0.250 0.538
0.682 0.750 0.743
0.318 0.250 0.257
```

=====

ii.
# DyPuTe

A geometry-optimized DyPuTe structure (PBE-GGA, the Alexandria database).

```
DyPuTe
1.0
3.827 0.000 0.000
0.000 5.176 0.000
0.000 -2.588 4.482
Dy Te Pu
1 1 1
direct
0.167 0.667 0.333
0.167 0.000 0.000
0.667 0.333 0.667
```

=====

iii.
# DyPuTe

A geometry-optimized DyPuTe structure (PBE-GGA, the Alexandria database).

```
DyPuTe
1.0
3.903 0.000 0.000
0.000 3.903 0.000
-1.951 -1.951 5.617
Dy Te Pu
1 1 1
direct
0.317 0.317 0.633
0.674 0.674 0.348
0.009 0.009 0.019
```

=====

Last place for stability: ii

=====

i.
# DyPuTe3

A geometry-optimized DyPuTe3 structure (PBE-GGA, the Alexandria database).

```
DyPuTe3
1.0
-1.634 0.721 -5.729
-7.884 -0.692 -0.981
-2.629 7.386 -1.463
Dy Pu Te
2 2 6
direct
0.500 0.500 0.500
0.000 0.000 0.000
0.750 0.805 0.695
0.250 0.195 0.305
0.961 0.374 0.704
0.539 0.796 0.126
0.461 0.204 0.874
0.039 0.626 0.296
0.250 0.858 0.642
0.750 0.142 0.358
```

=====

ii.
# DyPuTe3

A geometry-optimized DyPuTe3 structure (PBE-GGA, the Alexandria database).

```
DyPuTe3
1.0
-3.898 1.122 1.534
-2.133 -7.286 -0.089
3.275 -1.070 9.105
Dy Pu Te
2 2 6
direct
0.750 0.750 0.397
0.250 0.250 0.603
0.750 0.250 0.156
0.250 0.750 0.844
0.750 0.750 0.068
0.250 0.250 0.932
0.750 0.977 0.669
0.750 0.523 0.669
0.250 0.023 0.331
0.250 0.477 0.331
```

=====

Last place for stability: i

=====

i.
# DyPuTh

A geometry-optimized DyPuTh structure (PBE-GGA, the Alexandria database).

```
DyPuTh
1.0
3.265 0.000 0.000
0.000 5.660 0.000
0.000 -2.830 4.902
Dy Th Pu
1 1 1
direct
0.168 0.000 0.000
0.166 0.667 0.333
0.667 0.333 0.667
```

=====

ii.
# DyPuTh

A geometry-optimized DyPuTh structure (PBE-GGA, the Alexandria database).

```
DyPuTh
1.0
-2.116 1.779 -2.197
-1.177 -3.049 -1.336
-3.605 0.496 6.711
Pu Th Dy
1 1 1
direct
0.994 0.994 0.988
0.339 0.339 0.678
0.667 0.667 0.334
```

=====

iii.
# DyPuTh

A geometry-optimized DyPuTh structure (PBE-GGA, the Alexandria database).

```
DyPuTh
1.0
3.452 0.000 0.000
0.000 5.568 0.000
0.000 0.000 9.405
Dy Pu Th
2 2 2
direct
0.500 0.000 0.592
0.000 0.500 0.408
0.500 0.000 0.237
0.000 0.500 0.763
0.000 0.000 0.927
0.500 0.500 0.073
```

=====

Last place for stability: i

=====

i.
# DyTmPu2

A geometry-optimized DyTmPu2 structure (PBE-GGA, the Alexandria database).

```
DyTmPu2
1.0
-0.713 2.667 -1.961
0.956 -1.755 -2.734
-9.408 -3.352 -1.137
Tm Dy Pu
1 1 2
direct
0.500 0.500 0.500
0.500 0.500 0.000
0.000 0.000 0.748
0.000 0.000 0.252
```

=====

ii.
# DyTmPu2

A geometry-optimized DyTmPu2 structure (PBE-GGA, the Alexandria database).

```
DyTmPu2
1.0
-1.314 -1.544 5.070
-0.671 -5.294 1.154
3.666 -2.605 3.097
Tm Dy Pu
1 1 2
direct
0.000 0.000 0.000
0.500 0.500 0.500
0.250 0.250 0.250
0.750 0.750 0.750
```

=====

iii.
# DyTmPu2

A geometry-optimized DyTmPu2 structure (PBE-GGA, the Alexandria database).

```
DyTmPu2
1.0
3.421 0.000 0.000
1.710 2.962 0.000
1.710 0.987 11.344
Tm Dy Pu
1 1 2
direct
0.000 0.000 0.000
0.500 0.500 0.500
0.749 0.749 0.752
0.251 0.251 0.248
```

=====

Last place for stability: ii

=====

i.
# Dy4Tm5Pu

A geometry-optimized Dy4Tm5Pu structure (PBE-GGA, the Alexandria database).

```
Dy4Tm5Pu
1.0
-3.705 1.264 3.665
3.320 -0.189 7.345
0.007 7.976 1.181
Dy Tm Pu
4 5 1
direct
0.500 0.324 0.676
0.824 0.676 0.676
0.176 0.324 0.324
0.500 0.676 0.324
0.816 0.368 0.000
0.184 0.000 0.632
0.816 0.000 0.368
0.184 0.632 0.000
0.505 0.000 0.000
0.006 0.000 0.000
```

=====

ii.
# Dy4Tm5Pu

A geometry-optimized Dy4Tm5Pu structure (PBE-GGA, the Alexandria database).

```
Dy4Tm5Pu
1.0
-2.461 0.371 -2.422
-7.876 -1.849 7.720
2.805 7.933 0.852
Dy Tm Pu
4 5 1
direct
0.606 0.798 0.211
0.915 0.708 0.829
0.394 0.202 0.789
0.085 0.292 0.171
0.211 0.616 0.421
0.189 0.079 0.378
0.811 0.921 0.622
0.500 0.500 0.000
0.789 0.384 0.579
0.500 0.000 0.000
```

=====

Last place for stability: i